# 1
Computed, not measured: a relaxed Be2PtW crystal at the PBE level of DFT.

Calculated values
- Magnetization: 0.0 μB/cell
- DFT formation energy: 0.2290 eV/atom
- Final energy: -6.38 eV per atom

a = 6.2029 Å, b = 6.2029 Å, c = 5.1361 Å
α = 52.85°, β = 52.85°, γ = 90.00°
Last column: nearest neighbours and their distance in Å.
Element x y z (fractional)
Pt  0.7500  0.2500  0.5000  4 Be 2.21
Pt  0.0000  0.0000  0.0000  4 Be 2.21
Be  0.3750  0.3556  0.7500  2 Pt 2.21, 2 W 2.38
Be  0.8750  0.8944  0.7500  2 Pt 2.21, 2 W 2.38
Be  0.6444  0.1250  0.2500  2 Pt 2.21, 2 W 2.38
Be  0.1056  0.6250  0.2500  2 Pt 2.21, 2 W 2.38
W  0.2500  0.7500  0.5000  4 Be 2.38
W  0.5000  0.5000  0.0000  4 Be 2.38

=====

# 2
Computed, not measured: a relaxed Ca2Dy2Hg3 crystal at the PBE level of DFT.

Calculated values
- Magnetization: 0.0 μB/cell
- DFT formation energy: -0.3659 eV/atom
- Final energy: -2.38 eV per atom

a = 5.2681 Å, b = 5.2685 Å, c = 9.0167 Å
α = 90.01°, β = 106.98°, γ = 120.00°
Last column: nearest neighbours and their distance in Å.
Element x y z (fractional)
Hg  0.0000  0.0000  0.0000  2 Dy 3.17, 6 Ca 3.23
Hg  0.5130  0.7567  0.2694  4 Dy 3.03-3.17, 4 Ca 3.27-3.39
Hg  0.4870  0.2433  0.7306  4 Dy 3.03-3.17, 4 Ca 3.27-3.39
Dy  0.7512  0.8754  0.6269  5 Hg 3.03-3.17
Dy  0.2488  0.1246  0.3731  5 Hg 3.03-3.17
Ca  0.7531  0.3767  0.1295  7 Hg 3.23-3.39
Ca  0.2469  0.6233  0.8705  7 Hg 3.23-3.39

=====

# 3
Computed, not measured: a relaxed LaRuPb crystal at the PBE level of DFT.

Calculated values
- Magnetization: 0.0 μB/cell
- DFT formation energy: -0.1766 eV/atom
- Final energy: -6.15 eV per atom

a = 6.7342 Å, b = 6.7265 Å, c = 7.7664 Å
α = 90.00°, β = 90.00°, γ = 120.04°
Last column: nearest neighbours and their distance in Å.
Element x y z (fractional)
Pb  0.2923  0.0845  0.2500  4 Ru 2.93-2.97
Pb  0.7923  0.0845  0.2500  4 Ru 2.93-2.97
Pb  0.2077  0.9155  0.7500  4 Ru 2.93-2.97
Pb  0.7077  0.9155  0.7500  4 Ru 2.93-2.97
La  0.7975  0.5951  0.4033  1 Ru 2.42
La  0.2975  0.5951  0.0967  1 Ru 2.42
La  0.2025  0.4049  0.5967  1 Ru 2.42
La  0.7025  0.4049  0.9033  1 Ru 2.42
Ru  0.1130  0.2261  0.9530  1 La 2.42
Ru  0.6130  0.2261  0.5470  1 La 2.42
Ru  0.8870  0.7739  0.0470  1 La 2.42
Ru  0.3870  0.7739  0.4530  1 La 2.42

=====

# 4
Computed, not measured: a relaxed PmReH2O6 crystal at the PBE level of DFT.

Calculated values
- Magnetization: 0.0 μB/cell
- Final energy: -7.25 eV per atom

a = 5.3154 Å, b = 5.5783 Å, c = 5.9905 Å
α = 61.66°, β = 61.54°, γ = 56.82°
Last column: nearest neighbours and their distance in Å.
Element x y z (fractional)
O  0.4835  0.2678  0.2711  1 Re 1.83
O  0.3596  0.7132  0.8376  1 H 0.98
O  0.6754  0.1140  0.8226  1 Re 1.79
O  0.2156  0.9761  0.2646  1 Re 1.79
O  0.0614  0.4584  0.8468  1 Re 1.83
O  0.8943  0.5566  0.2901  1 H 0.98
Re  0.3186  0.2868  0.0527  4 O 1.79-1.83
Pm  0.7914  0.8248  0.5448  6 O 2.29-2.50
H  0.7152  0.5959  0.2493  1 O 0.98
H  0.1467  0.8681  0.8356  1 O 0.98

=====

# 5
Computed, not measured: a relaxed Sm3In2Ga crystal at the PBE level of DFT.

Calculated values
- Magnetization: 0.0 μB/cell
- DFT formation energy: -0.5120 eV/atom
- Final energy: -4.29 eV per atom

a = 3.7381 Å, b = 3.7381 Å, c = 11.5321 Å
α = 90.00°, β = 90.00°, γ = 90.00°
Last column: nearest neighbours and their distance in Å.
Element x y z (fractional)
Sm  0.0000  0.0000  0.6546  4 Ga 3.19, 4 In 3.31, 1 Sm 3.57
Sm  0.0000  0.0000  0.3454  4 Ga 3.19, 4 In 3.31, 1 Sm 3.57
Sm  0.0000  0.0000  0.0000  8 In 3.31
In  0.5000  0.5000  0.1721  8 Sm 3.31
In  0.5000  0.5000  0.8279  8 Sm 3.31
Ga  0.5000  0.5000  0.5000  8 Sm 3.19

=====

# 6
Computed, not measured: a relaxed SrCd2Rh2 crystal at the PBE level of DFT.

Calculated values
- Magnetization: 0.0 μB/cell
- DFT formation energy: -0.0756 eV/atom
- Final energy: -3.72 eV per atom

a = 4.8141 Å, b = 4.8141 Å, c = 6.0724 Å
α = 66.65°, β = 66.65°, γ = 90.00°
Last column: nearest neighbours and their distance in Å.
Element x y z (fractional)
Rh  0.7500  0.2500  0.5000  4 Cd 2.66
Rh  0.2500  0.7500  0.5000  4 Cd 2.66
Cd  0.6376  0.6376  0.7249  4 Rh 2.66, 1 Cd 2.77
Cd  0.3624  0.3624  0.2751  4 Rh 2.66, 1 Cd 2.77
Sr  0.0000  0.0000  0.0000  8 Rh 3.48, 10 Cd 3.64-3.67